The following is a DFT calculation (PBE) of a relaxed structure of K2CdGa.

Cell lengths 5.926, 5.926, 5.926 Å; angles 60.00, 60.00, 60.00 degrees
Fractional positions:
1 K 0.250 0.250 0.250
2 K 0.750 0.750 0.750
3 Ga 0.000 0.000 0.000
4 Cd 0.500 0.500 0.500

Output
- Space-group type: Fm-3m (225)
- E above lowest polymorph: 0.166 eV/atom

The following is a DFT calculation (PBE) of a relaxed structure of K2CdGa.

Cell lengths 9.638, 9.638, 7.543 Å; angles 50.29, 50.29, 90.00 degrees
Fractional positions:
1 K 0.613 0.125 0.250
2 K 0.137 0.625 0.250
3 K 0.375 0.387 0.750
4 K 0.875 0.863 0.750
5 Ga 0.500 0.500 0.000
6 Ga 0.250 0.750 0.500
7 Cd 0.000 0.000 0.000
8 Cd 0.750 0.250 0.500

Output
- Space-group type: I-42d (122)
- E above lowest polymorph: 0.212 eV/atom

The following is a DFT calculation (PBE) of a relaxed structure of K2Cd3Ga.

Cell lengths 6.313, 6.313, 6.234 Å; angles 89.99, 121.43, 119.02 degrees
Fractional positions:
1 K 0.748 0.374 0.122
2 K 0.252 0.626 0.878
3 Cd 0.500 0.500 0.500
4 Cd 0.000 0.000 0.500
5 Cd 0.500 0.000 0.500
6 Ga 0.000 0.000 0.000

Output
- Space-group type: C2/m (12)

The following is a DFT calculation (PBE) of a relaxed structure of KCd10Ga2.

Cell lengths 5.750, 8.000, 7.729 Å; angles 82.32, 68.16, 68.94 degrees
Fractional positions:
1 K 0.000 0.000 0.000
2 Cd 0.355 0.642 0.648
3 Cd 0.645 0.358 0.352
4 Cd 0.997 0.358 0.648
5 Cd 0.003 0.642 0.352
6 Cd 0.000 0.000 0.500
7 Cd 0.500 0.000 0.500
8 Cd 0.281 0.223 0.214
9 Cd 0.719 0.777 0.786
10 Cd 0.505 0.777 0.214
11 Cd 0.495 0.223 0.786
12 Ga 0.000 0.500 0.000
13 Ga 0.500 0.500 0.000

Output
- Space-group type: Fmmm (69)

The following is a DFT calculation (PBE) of a relaxed structure of K2Cd2Ga.

Cell lengths 7.530, 7.530, 5.828 Å; angles 90.00, 90.00, 90.00 degrees
Fractional positions:
1 K 0.178 0.678 0.500
2 K 0.678 0.822 0.500
3 K 0.822 0.322 0.500
4 K 0.322 0.178 0.500
5 Ga 0.000 0.000 0.000
6 Ga 0.500 0.500 0.000
7 Cd 0.358 0.858 0.000
8 Cd 0.858 0.642 0.000
9 Cd 0.642 0.142 0.000
10 Cd 0.142 0.358 0.000

Output
- Space-group type: P4/mbm (127)
- E above lowest polymorph: 0.062 eV/atom

The following is a DFT calculation (PBE) of a relaxed structure of KCd3Ga3.

Cell lengths 5.017, 8.858, 8.861 Å; angles 119.99, 90.00, 90.00 degrees
Fractional positions:
1 K 0.750 0.333 0.667
2 K 0.250 0.667 0.333
3 Cd 0.750 0.879 0.116
4 Cd 0.750 0.238 0.122
5 Cd 0.750 0.884 0.762
6 Cd 0.250 0.121 0.884
7 Cd 0.250 0.762 0.878
8 Cd 0.250 0.116 0.238
9 Ga 0.750 0.913 0.455
10 Ga 0.750 0.542 0.087
11 Ga 0.750 0.545 0.458
12 Ga 0.250 0.087 0.545
13 Ga 0.250 0.458 0.913
14 Ga 0.250 0.455 0.542

Output
- Space-group type: P6_3/m (176)

Number 1: calculated volume 36.79 Å³ per atom, formation energy 0.16 eV/atom, uncorrected energy -5.51 eV per cell. Number 2: calculated volume 37.54 Å³ per atom, formation energy 0.20 eV/atom, uncorrected energy -10.66 eV per cell. Number 3: calculated volume 29.06 Å³ per atom, formation energy -0.06 eV/atom, uncorrected energy -8.33 eV per cell. Number 4: calculated volume 23.69 Å³ per atom, formation energy -0.02 eV/atom, uncorrected energy -16.60 eV per cell. Number 5: calculated volume 33.04 Å³ per atom, formation energy 0.00 eV/atom, uncorrected energy -14.11 eV per cell. Number 6: calculated volume 24.36 Å³ per atom, formation energy 0.06 eV/atom, uncorrected energy -25.00 eV per cell.